## AcH2F (GGA-PBE)

Data for a relaxed AcH2F crystal.

Geometry as POSCAR:
```
AcH2F
1.0
-3.175 -1.566 2.146
-2.123 -3.222 -1.500
0.344 -3.718 1.788
F H Ac
1 2 1
Direct
0.500 0.500 0.500 F
0.750 0.750 0.750 H
0.250 0.250 0.250 H
0.000 0.000 0.000 Ac
```

size of the total moment: 0.0 μB per formula unit
DOS at the Fermi energy: 0.000 states/eV per atom
relative energy among the computed polymorphs: 103.3 meV/atom